# 1
Compound: BeReAu3
Source: Alexandria via LeMat-Bulk
Functional: PBE
Structure: optimized geometry

DFT formation energy (kJ/mol of formula units): 821
Total energy (eV for the cell shown): -17.50

POSCAR file:
```
BeReAu3
1.0
5.043 0.000 0.000
0.000 5.043 0.000
0.000 0.000 5.043
Be Re Au
1 1 3
Direct
0.000 0.000 0.000
0.500 0.500 0.500
0.000 0.500 0.500
0.500 0.000 0.500
0.500 0.500 0.000
```

# 2
Compound: BeReAuSe2
Source: Alexandria via LeMat-Bulk
Functional: PBE
Structure: optimized geometry

Total energy (eV for the cell shown): -21.60

POSCAR file:
```
BeReAuSe2
1.0
4.725 0.000 0.000
0.000 4.725 0.000
0.000 0.000 5.409
Be Re Au Se
1 1 1 2
Direct
0.000 0.000 0.000
0.500 0.500 0.500
0.500 0.500 0.000
0.000 0.500 0.500
0.500 0.000 0.500
```

# 3
Compound: BeReSiAu2
Source: Alexandria via LeMat-Bulk
Functional: PBE
Structure: optimized geometry

Total energy (eV for the cell shown): -21.05

POSCAR file:
```
BeReSiAu2
1.0
5.020 0.000 0.000
0.000 5.020 0.000
0.000 0.000 4.275
Be Re Si Au
1 1 1 2
Direct
0.000 0.000 0.000
0.000 0.000 0.500
0.500 0.500 0.000
0.000 0.500 0.500
0.500 0.000 0.500
```

# 4
Compound: Sr2BeReAu
Source: Alexandria via LeMat-Bulk
Functional: PBE
Structure: optimized geometry

DFT formation energy (kJ/mol of formula units): 282
Total energy (eV for the cell shown): -19.89

POSCAR file:
```
Sr2BeReAu
1.0
5.650 0.000 0.000
0.000 5.650 0.000
0.000 0.000 4.275
Sr Be Re Au
2 1 1 1
Direct
0.000 0.500 0.000
0.500 0.000 0.000
0.000 0.000 0.000
0.000 0.000 0.500
0.500 0.500 0.500
```

no.,total magnetization (μB per formula unit),mass density (Mg/m³)
1,1.33,10.178
2,0.00,7.564
3,0.00,9.512
4,1.58,6.905